P.
Below is a relaxed structure of Y2CoF, with properties calculated at the PBE with a Hubbard U level.

CIF file:
```
data_Y2CoF
_chemical_formula_sum 'Y8 Co4 F4'
_cell_length_a 6.6749
_cell_length_b 6.6749
_cell_length_c 6.6749
_cell_angle_alpha 90.00
_cell_angle_beta 90.00
_cell_angle_gamma 90.00
_symmetry_space_group_name_H-M 'F m -3 m'
_symmetry_Int_Tables_number 225
_symmetry_space_group_name_Hall '-F 4 2 3'
loop_
_atom_site_label
_atom_site_type_symbol
_atom_site_fract_x
_atom_site_fract_y
_atom_site_fract_z
Y1 Y 0.2500 0.2500 0.2500
Co1 Co 0.0000 0.0000 0.0000
F1 F 0.0000 0.0000 0.5000
```

Crystal system: cubic

=====

Q.
Below is a relaxed structure of Y2CoF, with properties calculated at the PBE with a Hubbard U level.

CIF file:
```
data_Y2CoF
_chemical_formula_sum 'Y8 Co4 F4'
_cell_length_a 5.5237
_cell_length_b 5.5237
_cell_length_c 11.7253
_cell_angle_alpha 90.00
_cell_angle_beta 90.00
_cell_angle_gamma 90.00
_symmetry_space_group_name_H-M 'I -4 2 d'
_symmetry_Int_Tables_number 122
_symmetry_space_group_name_Hall 'I -4 2bw'
loop_
_atom_site_label
_atom_site_type_symbol
_atom_site_fract_x
_atom_site_fract_y
_atom_site_fract_z
Y1 Y 0.2293 0.2500 0.1250
Co1 Co 0.0000 0.0000 0.5000
F1 F 0.0000 0.0000 0.0000
```

Crystal system: tetragonal

=====

The least stable of them is P.